# 1
A relaxed structure of LaDy2ScHg4, computed with GGA-PBE.

Lattice parameters (Å, degrees): 5.2136 5.2136 9.3330 73.78 73.78 60.00
Fractional positions:
Hg  0.3841  0.3841  0.8477
Hg  0.1285  0.1285  0.6146
Hg  0.6159  0.6159  0.1523
Hg  0.8715  0.8715  0.3854
Dy  0.2458  0.2458  0.2627
Dy  0.7542  0.7542  0.7373
Sc  0.5000  0.5000  0.5000
La  0.0000  0.0000  0.0000

## Properties
**Calculated volume**: 25.99 Å³/atom
**VASP energy**: -3.152 eV per atom
**Symmetry**: No. 166

***

# 2
A relaxed structure of La2DyScHg2, computed with GGA-PBE.

Lattice parameters (Å, degrees): 5.0188 7.2381 9.4510 90.00 90.00 90.00
Fractional positions:
Sc  0.5000  0.1744  0.6718
Sc  0.5000  0.6744  0.3282
Hg  0.0000  0.2654  0.8265
Hg  0.5000  0.2608  0.3748
Hg  0.0000  0.7654  0.1735
Hg  0.5000  0.7608  0.6252
La  0.0000  0.3334  0.1697
La  0.5000  0.0210  0.0567
La  0.0000  0.8334  0.8303
La  0.5000  0.5210  0.9433
Dy  0.0000  0.9905  0.4502
Dy  0.0000  0.4905  0.5498

## Properties
**Calculated volume**: 28.61 Å³/atom
**VASP energy**: -3.890 eV per atom
**Symmetry**: No. 26

***

# 3
A relaxed structure of LaDySiHg, computed with GGA-PBE.

Lattice parameters (Å, degrees): 5.2481 5.2481 5.2481 60.00 60.00 60.00
Fractional positions:
Dy  0.0000  0.0000  0.0000
Si  0.7500  0.7500  0.7500
La  0.5000  0.5000  0.5000
Hg  0.2500  0.2500  0.2500

## Properties
**Raw formation energy**: -0.473 eV/atom
**Calculated volume**: 25.55 Å³/atom
**Symmetry**: No. 216

***

# 4
A relaxed structure of La2SmDyHg2, computed with GGA-PBE.

Lattice parameters (Å, degrees): 5.2061 7.2736 9.6687 90.00 90.00 90.00
Fractional positions:
Sm  0.0000  0.4936  0.5557
Sm  0.0000  0.9936  0.4443
Hg  0.0000  0.7704  0.1617
Hg  0.5000  0.2503  0.3641
Hg  0.5000  0.7503  0.6359
Hg  0.0000  0.2704  0.8383
Dy  0.5000  0.6759  0.3278
Dy  0.5000  0.1759  0.6722
La  0.0000  0.3344  0.1712
La  0.5000  0.0211  0.0573
La  0.5000  0.5211  0.9427
La  0.0000  0.8344  0.8288

## Properties
**Calculated volume**: 30.51 Å³/atom
**VASP energy**: -3.635 eV per atom
**Symmetry**: No. 26

***

# 5
A relaxed structure of LaSmDyHg, computed with GGA-PBE.

Lattice parameters (Å, degrees): 3.7095 3.7095 8.8935 90.00 90.00 90.00
Fractional positions:
Hg  0.0000  0.0000  0.5628
Sm  0.5000  0.5000  0.7881
Dy  0.5000  0.5000  0.3579
La  0.0000  0.0000  0.0760

## Properties
**Calculated volume**: 30.59 Å³/atom
**Symmetry**: No. 99
**Offset from the most stable computed form**: 0.00 eV per formula unit

***

# 6
A relaxed structure of LaSmDyHg, computed with GGA-PBE.

Lattice parameters (Å, degrees): 5.5481 5.5481 5.5481 60.00 60.00 60.00
Fractional positions:
Dy  0.0000  0.0000  0.0000
Sm  0.7500  0.7500  0.7500
La  0.2500  0.2500  0.2500
Hg  0.5000  0.5000  0.5000

## Properties
**Calculated volume**: 30.19 Å³/atom
**Symmetry**: No. 216
**Offset from the most stable computed form**: 0.59 eV per formula unit